SiAsI2N | PBE | optimized geometry

## Properties
Energy relative to the elements, uncorrected, eV per atom: 0.52
Density of states at the Fermi level, states/eV/atom: 0.64

Cell and atoms, written as POSCAR:
```
SiAsI2N
1.0
5.8639 0.0000 0.0000
0.0000 5.8639 0.0000
0.0000 0.0000 3.3097
Si As I N
1 1 2 1
Direct
0.0000 0.0000 0.0000
0.5000 0.5000 0.5000
0.0000 0.5000 0.0000
0.5000 0.0000 0.0000
0.0000 0.0000 0.5000
```

SrAsIN2 | PBE | optimized geometry

## Properties
Energy relative to the elements, uncorrected, eV per atom: 0.73
Density of states at the Fermi level, states/eV/atom: 0.29

Cell and atoms, written as POSCAR:
```
SrAsIN2
1.0
4.3035 0.0000 0.0000
0.0000 4.3035 0.0000
0.0000 0.0000 5.7493
Sr As I N
1 1 1 2
Direct
0.0000 0.0000 0.0000
0.5000 0.5000 0.5000
0.5000 0.5000 0.0000
0.0000 0.5000 0.5000
0.5000 0.0000 0.5000
```

Sr2AsIN | PBE | optimized geometry

## Properties
Energy relative to the elements, uncorrected, eV per atom: 0.85
Density of states at the Fermi level, states/eV/atom: 0.66

Cell and atoms, written as POSCAR:
```
Sr2AsIN
1.0
6.1783 0.0000 0.0000
0.0000 6.1783 0.0000
0.0000 0.0000 5.3596
Sr As I N
2 1 1 1
Direct
0.0000 0.5000 0.0000
0.5000 0.0000 0.0000
0.0000 0.0000 0.5000
0.0000 0.0000 0.0000
0.5000 0.5000 0.5000
```

Sr6AsI3N2 | PBE | optimized geometry

## Properties
Energy relative to the elements, uncorrected, eV per atom: -1.18
Density of states at the Fermi level, states/eV/atom: 0.00

Cell and atoms, written as POSCAR:
```
Sr6AsI3N2
1.0
3.6487 -6.3161 0.0000
3.6487 6.3161 0.0000
-2.4396 0.0000 7.9164
Sr As I N
6 1 3 2
Direct
0.0716 0.4408 0.8220
0.1903 0.1903 0.1764
0.4408 0.0716 0.8220
0.5592 0.9284 0.1780
0.8097 0.8097 0.8236
0.9284 0.5592 0.1780
0.5000 0.5000 0.0000
0.0000 0.0000 0.5000
0.3388 0.6612 0.5000
0.6612 0.3388 0.5000
0.1668 0.8332 0.0000
0.8332 0.1668 0.0000
```

Sr8As3I4N | PBE | optimized geometry

## Properties
Energy relative to the elements, uncorrected, eV per atom: -1.32

Cell and atoms, written as POSCAR:
```
Sr8As3I4N
1.0
4.4833 2.5885 7.9229
-4.4833 2.5885 7.9229
0.0000 -5.1769 7.9229
Sr As I N
8 3 4 1
Direct
0.2331 0.2331 0.2331
0.2559 0.7151 0.7151
0.2849 0.2849 0.7441
0.2849 0.7441 0.2849
0.7151 0.2559 0.7151
0.7151 0.7151 0.2559
0.7441 0.2849 0.2849
0.7669 0.7669 0.7669
0.0000 0.0000 0.5000
0.0000 0.5000 0.0000
0.5000 0.0000 0.0000
0.0000 0.0000 0.0000
0.0000 0.5000 0.5000
0.5000 0.0000 0.5000
0.5000 0.5000 0.0000
0.5000 0.5000 0.5000
```

SrAsIN2 | PBE | optimized geometry

## Properties
Energy relative to the elements, uncorrected, eV per atom: 1.69
Density of states at the Fermi level, states/eV/atom: 1.37

Cell and atoms, written as POSCAR:
```
SrAsIN2
1.0
4.7787 0.0000 0.0000
0.0000 4.7787 0.0000
0.0000 0.0000 6.5970
Sr As I N
1 1 1 2
Direct
0.0000 0.0000 0.0000
0.5000 0.5000 0.5000
0.0000 0.0000 0.5000
0.0000 0.5000 0.0000
0.5000 0.0000 0.0000
```

TaAsIN2 | PBE | optimized geometry

## Properties
Energy relative to the elements, uncorrected, eV per atom: 1.98
Density of states at the Fermi level, states/eV/atom: 0.96

Cell and atoms, written as POSCAR:
```
TaAsIN2
1.0
3.9832 0.0000 0.0000
0.0000 3.9832 0.0000
0.0000 0.0000 5.2657
Ta As I N
1 1 1 2
Direct
0.0000 0.0000 0.0000
0.5000 0.5000 0.5000
0.5000 0.5000 0.0000
0.0000 0.5000 0.5000
0.5000 0.0000 0.5000
```

TaAsI2N | PBE | optimized geometry

## Properties
Energy relative to the elements, uncorrected, eV per atom: 1.33
Density of states at the Fermi level, states/eV/atom: 0.66

Cell and atoms, written as POSCAR:
```
TaAsI2N
1.0
5.8516 0.0000 0.0000
0.0000 5.8516 0.0000
0.0000 0.0000 3.6011
Ta As I N
1 1 2 1
Direct
0.0000 0.0000 0.0000
0.5000 0.5000 0.5000
0.0000 0.5000 0.5000
0.5000 0.0000 0.5000
0.5000 0.5000 0.0000
```

TaAsI2N | PBE | optimized geometry

## Properties
Energy relative to the elements, uncorrected, eV per atom: 0.45
Density of states at the Fermi level, states/eV/atom: 0.88

Cell and atoms, written as POSCAR:
```
TaAsI2N
1.0
5.6718 0.0000 0.0000
0.0000 5.6718 0.0000
0.0000 0.0000 3.8977
Ta As I N
1 1 2 1
Direct
0.0000 0.0000 0.0000
0.5000 0.5000 0.5000
0.0000 0.5000 0.0000
0.5000 0.0000 0.0000
0.0000 0.0000 0.5000
```

TaAsIN2 | PBE | optimized geometry

## Properties
Energy relative to the elements, uncorrected, eV per atom: 0.66
Density of states at the Fermi level, states/eV/atom: 0.62

Cell and atoms, written as POSCAR:
```
TaAsIN2
1.0
4.0762 0.0000 0.0000
0.0000 4.0762 0.0000
0.0000 0.0000 5.9302
Ta As I N
1 1 1 2
Direct
0.0000 0.0000 0.0000
0.5000 0.5000 0.5000
0.0000 0.0000 0.5000
0.0000 0.5000 0.0000
0.5000 0.0000 0.0000
```

TeAsI2N | PBE | optimized geometry

## Properties
Energy relative to the elements, uncorrected, eV per atom: 0.78
Density of states at the Fermi level, states/eV/atom: 0.61

Cell and atoms, written as POSCAR:
```
TeAsI2N
1.0
6.1072 0.0000 0.0000
0.0000 6.1072 0.0000
0.0000 0.0000 3.6811
Te As I N
1 1 2 1
Direct
0.0000 0.0000 0.0000
0.5000 0.5000 0.5000
0.0000 0.5000 0.5000
0.5000 0.0000 0.5000
0.5000 0.5000 0.0000
```

Te2AsIN | PBE | optimized geometry

## Properties
Energy relative to the elements, uncorrected, eV per atom: 1.41
Density of states at the Fermi level, states/eV/atom: 0.88

Cell and atoms, written as POSCAR:
```
Te2AsIN
1.0
5.9298 0.0000 0.0000
0.0000 5.9298 0.0000
0.0000 0.0000 3.9341
Te As I N
2 1 1 1
Direct
0.0000 0.5000 0.0000
0.5000 0.0000 0.0000
0.0000 0.0000 0.5000
0.5000 0.5000 0.0000
0.5000 0.5000 0.5000
```

Uncorrected energy values, unit eV per cell, following the record order: -18.88 -20.89 -13.66 -50.25 -63.08 -16.08 -24.83 -21.28 -25.69 -31.39 -15.34 -13.76.